A plane-wave DFT calculation with GGA-PBE was carried out for a geometry-optimized Hg2SbPb structure.

Its energy relative to the elements, uncorrected is 0.092 eV per atom.

It has space group I4/mmm (No. 139), with a = 4.796 Å, b = 4.796 Å, c = 9.544 Å, α = 90.00°, β = 90.00° and γ = 90.00°. The asymmetric unit holds Hg at (0.000, 0.500, 0.250), Sb at (0.000, 0.000, 0.000) and Pb at (0.000, 0.000, 0.500).